No. 1
VASP calculation (PBE) on a relaxed structure of CoNiS3.

Results
raw formation energy = -0.206 eV/atom
energy above the most stable polymorph in this dataset = 25.5 meV per atom
total magnetization = 0.0000 μB per atom
electronic total energy = -105.19 eV per cell
SG = C2/c
calculated density = 4.596 g/cm3

POSCAR file:
```
CoNiS3
1.0
5.579 0.257 0.771
0.921 7.434 0.726
0.346 -0.420 7.507
Co Ni S
4 4 12
Direct
0.504 0.840 0.652 Co
0.996 0.348 0.160 Co
0.496 0.160 0.348 Co
0.004 0.652 0.840 Co
0.250 0.351 0.649 Ni
0.750 0.649 0.351 Ni
0.250 0.895 0.105 Ni
0.750 0.105 0.895 Ni
0.065 0.638 0.130 S
0.435 0.870 0.362 S
0.935 0.362 0.870 S
0.565 0.130 0.638 S
0.593 0.436 0.253 S
0.907 0.747 0.564 S
0.407 0.564 0.747 S
0.093 0.253 0.436 S
0.629 0.823 0.917 S
0.871 0.083 0.177 S
0.371 0.177 0.083 S
0.129 0.917 0.823 S
```

No. 2
VASP calculation (PBE) on a relaxed structure of CoNiSb2S2.

Results
raw formation energy = -0.318 eV/atom
total magnetization = 0.0221 μB per atom
electronic total energy = -62.59 eV per cell
SG = P2_1
calculated density = 6.872 g/cm3

POSCAR file:
```
CoNiSb2S2
1.0
5.905 0.000 0.000
0.000 5.899 0.003
0.000 0.019 5.900
Co Ni Sb S
2 2 4 4
Direct
0.519 0.483 0.770 Co
0.019 0.517 0.230 Co
0.481 0.022 0.270 Ni
0.981 0.978 0.730 Ni
0.873 0.132 0.122 Sb
0.373 0.868 0.878 Sb
0.132 0.375 0.619 Sb
0.632 0.625 0.381 Sb
0.119 0.872 0.368 S
0.619 0.128 0.632 S
0.876 0.615 0.875 S
0.376 0.385 0.125 S
```

No. 3
VASP calculation (PBE) on a relaxed structure of Co2NiSeS.

Results
raw formation energy = 0.306 eV/atom
total magnetization = 0.3773 μB per atom
electronic total energy = -26.07 eV per cell
SG = P4/mmm
calculated density = 6.706 g/cm3

POSCAR file:
```
Co2NiSeS
1.0
4.138 0.000 0.000
0.000 4.158 0.000
0.000 0.000 4.138
Ni S Co Se
1 1 2 1
Direct
0.000 0.500 0.000 Ni
0.000 0.000 0.000 S
0.000 0.000 0.500 Co
0.500 0.000 0.000 Co
0.500 0.500 0.500 Se
```

No. 4
VASP calculation (PBE) on a relaxed structure of TiCoNi2S.

Results
raw formation energy = 0.675 eV/atom
total magnetization = 0.3270 μB per atom
electronic total energy = -27.31 eV per cell
SG = P4/mmm
calculated density = 5.344 g/cm3

POSCAR file:
```
TiCoNi2S
1.0
-0.839 -1.170 -4.043
1.193 -4.050 0.925
-4.039 -0.936 1.109
Ni S Co Ti
2 1 1 1
Direct
0.000 0.000 0.500 Ni
0.500 0.000 0.000 Ni
0.500 0.500 0.500 S
0.000 0.000 0.000 Co
0.000 0.500 0.000 Ti
```